Entry 1:
The following is a DFT calculation (PBE) of ZnBiSe2Cl after structural relaxation.

Output
Calculated total energy   -11.7 eV/cell
Crystal system   tetragonal
Formation energy from raw total energies   460 meV/atom
Total magnetization   1.98 μB per formula unit
Symmetry   P4/mmm, No. 123

abc: 5.5430 5.6437 5.5430
angles: 90.00 90.00 90.00
Site moments in Bohr magnetons follow the coordinates.
Fractional coordinates of all 5 atoms:
Zn 0.0000 0.5000 0.0000  0.02
Bi 0.0000 0.0000 0.0000  0.00
Se 0.0000 0.0000 0.5000  0.48
Se 0.5000 0.0000 0.0000  0.51
Cl 0.5000 0.5000 0.5000  0.29

***

Entry 2:
The following is a DFT calculation (PBE) of Zr2BiSeCl after structural relaxation.

Output
Calculated total energy   -25.1 eV/cell
Crystal system   tetragonal
Formation energy from raw total energies   250 meV/atom
Total magnetization   0.00 μB per formula unit
Symmetry   P4/mmm, No. 123

abc: 5.1070 5.5603 5.1070
angles: 90.00 90.00 90.00
Fractional coordinates of all 5 atoms:
Se 0.0000 0.0000 0.0000
Bi 0.0000 0.5000 0.0000
Zr 0.0000 0.0000 0.5000
Zr 0.5000 0.0000 0.0000
Cl 0.5000 0.5000 0.5000